Record 1
The following is a DFT calculation (PBE) of an optimized crystal structure of NdTl.

Cell lengths 3.6159, 3.6159, 5.3573 Å; angles 90.00, 90.00, 120.00 degrees
Space group P-6m2 (No. 187)
One atom of each set of equivalent atoms:
Nd (0.0000, 0.0000, 0.0000) (multiplicity 1)
Tl (0.6667, 0.3333, 0.5000) (multiplicity 1)

Total DFT energy (no corrections) ... -3.78 eV per atom
Crystal system ... hexagonal

Record 2
The following is a DFT calculation (PBE) of an optimized crystal structure of ScTcB.

Cell lengths 5.523, 5.523, 5.523 Å; angles 90.00, 90.00, 90.00 degrees
Space group F-43m (No. 216)
One atom of each set of equivalent atoms:
Sc (0.000, 0.000, 0.000) (multiplicity 4)
Tc (0.000, 0.000, 0.500) (multiplicity 4)
B (0.250, 0.250, 0.250) (multiplicity 4)

Total DFT energy (no corrections) ... -7.96 eV per atom
E above lowest polymorph ... 0 meV per atom
Crystal system ... cubic

Record 3
The following is a DFT calculation (PBE) of an optimized crystal structure of NaLaCoSe3.

Cell lengths 4.172, 13.183, 11.481 Å; angles 90.00, 90.00, 90.00 degrees
Space group Cmcm (No. 63)
One atom of each set of equivalent atoms:
Na (0.000, 0.244, 0.250) (multiplicity 4)
La (0.000, 0.000, 0.000) (multiplicity 4)
Co (0.000, 0.470, 0.750) (multiplicity 4)
Se (0.000, 0.075, 0.750) (multiplicity 4)
Se (0.000, 0.357, 0.586) (multiplicity 8)

Total DFT energy (no corrections) ... -5.07 eV per atom
E above lowest polymorph ... 26 meV per atom
Crystal system ... orthorhombic